DFT (PBE-GGA) results for a geometry-optimized KPa2TcN5 structure.

## Properties
* SG: No. 140
* electronic total energy: -159.9 eV/cell
* formation energy from raw total energies: -84 kJ/mol of atoms

abc: 6.7417 6.7417 7.4456
angles: 116.92 116.92 90.00
Last column: nearest neighbours and their distance in Å.
Atoms (fractional coordinates):
Tc (0.2500, 0.7500, 0.5000)  4 N 1.91
Tc (0.7500, 0.2500, 0.5000)  4 N 1.91
Pa (0.6864, 0.1864, 0.0000)  4 N 2.23-2.46
Pa (0.3136, 0.8136, 0.0000)  4 N 2.23-2.46
Pa (0.8136, 0.6864, 0.0000)  4 N 2.23-2.46
Pa (0.1864, 0.3136, 0.0000)  4 N 2.23-2.46
N (0.4905, 0.2680, 0.2585)  1 Tc 1.91
N (0.7680, 0.9905, 0.2585)  1 Tc 1.91
N (0.5095, 0.7320, 0.7415)  1 Tc 1.91
N (0.2320, 0.0095, 0.7415)  1 Tc 1.91
N (0.9905, 0.4905, 0.2585)  1 Tc 1.91
N (0.0095, 0.5095, 0.7415)  1 Tc 1.91
N (0.0000, 0.0000, 0.0000)  4 Pa 2.46
N (0.5000, 0.5000, 0.0000)  4 Pa 2.46
N (0.7320, 0.2320, 0.7415)  1 Tc 1.91
N (0.2680, 0.7680, 0.2585)  1 Tc 1.91
K (0.2500, 0.2500, 0.5000)  10 N 2.86-2.95
K (0.7500, 0.7500, 0.5000)  10 N 2.86-2.95

---

DFT (PBE-GGA) results for a geometry-optimized TaTi2Sb structure.

## Properties
* SG: No. 123
* electronic total energy: -33.0 eV/cell
* formation energy from raw total energies: -31 kJ/mol of atoms

abc: 3.4739 3.4739 6.0158
angles: 90.00 90.00 90.00
Last column: nearest neighbours and their distance in Å.
Atoms (fractional coordinates):
Ti (0.0000, 0.0000, 0.7551)  4 Ta 2.86, 4 Sb 2.90, 2 Ti 2.95-3.07
Ti (0.0000, 0.0000, 0.2449)  4 Ta 2.86, 4 Sb 2.90, 2 Ti 2.95-3.07
Sb (0.5000, 0.5000, 0.5000)  8 Ti 2.90, 2 Ta 3.01
Ta (0.5000, 0.5000, 0.0000)  8 Ti 2.86, 2 Sb 3.01

---

- Look up the formation energy from raw total energies of the second one.
  -31 kJ/mol of atoms

---

- The lowest formation energy from raw total energies belongs to which entry?
  KPa2TcN5